(1)
Below is crystalline CsC3I at its relaxed geometry, with properties calculated at the PBEsol level.

abc: 4.474 4.474 4.474
angles: 90.00 90.00 90.00
Fractional positions:
C 0.000 0.000 0.500
C 0.000 0.500 0.000
C 0.500 0.000 0.000
I 0.000 0.000 0.000
Cs 0.500 0.500 0.500

Results
uncorrected formation energy = 3.11 eV/atom
Fermi-level density of states = 4.1 states/eV/cell
SG = Pm-3m (221)
M_tot = 0.0 μB per cell



(2)
Below is crystalline CsCIO2 at its relaxed geometry, with properties calculated at the PBEsol level.

abc: 4.133 4.133 7.802
angles: 90.00 90.00 90.00
Site moments in Bohr magnetons follow the coordinates.
Fractional positions:
C 0.500 0.500 0.500  0.61
Cs 0.000 0.000 0.000  0.00
I 0.000 0.000 0.500  -0.13
O 0.000 0.500 0.000  0.00
O 0.500 0.000 0.000  0.00

Results
uncorrected formation energy = 1.68 eV/atom
Fermi-level density of states = 2.3 states/eV/cell
SG = P4/mmm (123)
M_tot = 1.1 μB per cell



(3)
Below is crystalline CsSb2CI at its relaxed geometry, with properties calculated at the PBEsol level.

abc: 6.586 6.586 6.820
angles: 90.00 90.00 90.00
Site moments in Bohr magnetons follow the coordinates.
Fractional positions:
Sb 0.000 0.500 0.000  0.57
Sb 0.500 0.000 0.000  0.57
I 0.000 0.000 0.500  0.06
C 0.500 0.500 0.500  0.97
Cs 0.000 0.000 0.000  0.04

Results
uncorrected formation energy = 2.54 eV/atom
Fermi-level density of states = 13.8 states/eV/cell
SG = P4/mmm (123)
M_tot = 5.2 μB per cell



(4)
Below is crystalline CsY10C4I18 at its relaxed geometry, with properties calculated at the PBEsol level.

abc: 11.076 11.141 11.216
angles: 66.77 87.11 60.58
Site moments in Bohr magnetons follow the coordinates.
Fractional positions:
C 0.153 0.779 0.121  -0.01
C 0.924 0.144 0.802  -0.01
C 0.076 0.856 0.198  -0.01
C 0.847 0.221 0.879  -0.01
I 0.610 0.038 0.842  0.00
I 0.168 0.313 0.846  0.00
I 0.979 0.247 0.171  0.00
I 0.443 0.473 0.829  0.00
I 0.323 0.905 0.830  0.00
I 0.932 0.699 0.506  0.00
I 0.361 0.428 0.506  0.00
I 0.390 0.962 0.158  0.00
I 0.068 0.301 0.494  0.00
I 0.227 0.853 0.503  0.00
I 0.557 0.527 0.171  0.00
I 0.639 0.572 0.494  0.00
I 0.737 0.628 0.817  0.00
I 0.263 0.372 0.183  0.00
I 0.773 0.147 0.497  0.00
I 0.677 0.095 0.170  0.00
I 0.021 0.753 0.829  0.00
I 0.832 0.687 0.154  0.00
Y 0.279 0.645 0.013  0.01
Y 0.906 0.395 0.706  0.06
Y 0.038 0.035 0.674  0.01
Y 0.107 0.056 0.001  0.15
Y 0.721 0.355 0.987  0.01
Y 0.094 0.605 0.294  0.06
Y 0.893 0.944 0.999  0.15
Y 0.673 0.278 0.708  0.07
Y 0.327 0.722 0.292  0.07
Y 0.962 0.965 0.326  0.01
Cs 0.500 0.000 0.500  0.00

Results
uncorrected formation energy = -1.27 eV/atom
Fermi-level density of states = 3.8 states/eV/cell
SG = P-1 (2)
M_tot = 0.8 μB per cell



(5)
Below is crystalline Cs2Zr7CI18 at its relaxed geometry, with properties calculated at the PBEsol level.

abc: 10.683 10.683 11.479
angles: 62.27 62.27 60.00
Site moments in Bohr magnetons follow the coordinates.
Fractional positions:
I 0.941 0.072 0.337  0.00
I 0.210 0.476 0.670  0.00
I 0.928 0.350 0.663  0.00
I 0.790 0.524 0.330  0.00
I 0.650 0.941 0.337  0.00
I 0.578 0.290 0.000  0.00
I 0.350 0.059 0.663  0.00
I 0.710 0.868 0.000  0.00
I 0.290 0.132 0.000  0.00
I 0.132 0.578 0.000  0.00
I 0.422 0.710 0.000  0.00
I 0.355 0.790 0.330  0.00
I 0.476 0.645 0.670  0.00
I 0.059 0.928 0.663  0.00
I 0.645 0.210 0.670  0.00
I 0.072 0.650 0.337  0.00
I 0.868 0.422 0.000  0.00
I 0.524 0.355 0.330  0.00
Zr 0.912 0.807 0.135  0.00
Zr 0.088 0.193 0.865  0.00
Zr 0.853 0.088 0.865  0.00
Zr 0.147 0.912 0.135  0.00
Zr 0.193 0.853 0.865  0.00
Zr 0.807 0.147 0.135  0.00
Zr 0.500 0.500 0.500  0.21
Cs 0.776 0.776 0.672  0.00
Cs 0.224 0.224 0.328  0.00
C 0.000 0.000 0.000  0.00

Results
uncorrected formation energy = -1.09 eV/atom
Fermi-level density of states = 8.6 states/eV/cell
SG = R-3 (148)
M_tot = 0.3 μB per cell



(6)
Below is crystalline CsIrC3 at its relaxed geometry, with properties calculated at the PBEsol level.

abc: 4.254 4.254 4.254
angles: 90.00 90.00 90.00
Fractional positions:
Ir 0.500 0.500 0.500
C 0.500 0.000 0.000
C 0.000 0.000 0.500
C 0.000 0.500 0.000
Cs 0.000 0.000 0.000

Results
Fermi-level density of states = 2.7 states/eV/cell
formation enthalpy at 0 K = 4728.2 meV/atom
SG = Pm-3m (221)
M_tot = 0.0 μB per cell



(7)
Below is crystalline Cs2LiIrC6N6 at its relaxed geometry, with properties calculated at the PBEsol level.

abc: 7.543 7.543 7.543
angles: 60.00 60.00 60.00
Fractional positions:
Cs 0.250 0.250 0.250
Cs 0.750 0.750 0.750
Ir 0.000 0.000 0.000
N 0.703 0.297 0.297
N 0.297 0.297 0.703
N 0.703 0.297 0.703
N 0.703 0.703 0.297
N 0.297 0.703 0.703
N 0.297 0.703 0.297
C 0.813 0.813 0.187
C 0.187 0.187 0.813
C 0.813 0.187 0.813
C 0.187 0.813 0.813
C 0.813 0.187 0.187
C 0.187 0.813 0.187
Li 0.500 0.500 0.500

Results
uncorrected formation energy = -0.22 eV/atom
Fermi-level density of states = 0.0 states/eV/cell
SG = Fm-3m (225)
M_tot = 0.0 μB per cell



(8)
Below is crystalline CsMgIr2C at its relaxed geometry, with properties calculated at the PBEsol level.

abc: 4.657 4.657 6.127
angles: 90.00 90.00 90.00
Site moments in Bohr magnetons follow the coordinates.
Fractional positions:
Mg 0.000 0.000 0.000  0.01
C 0.500 0.500 0.500  0.95
Cs 0.000 0.000 0.500  0.06
Ir 0.000 0.500 0.000  -0.84
Ir 0.500 0.000 0.000  -0.84

Results
Fermi-level density of states = 5.3 states/eV/cell
formation enthalpy at 0 K = 2799.0 meV/atom
SG = P4/mmm (123)
M_tot = 0.4 μB per cell



(9)
Below is crystalline CsKC3 at its relaxed geometry, with properties calculated at the PBEsol level.

abc: 5.487 5.487 5.487
angles: 90.00 90.00 90.00
Site moments in Bohr magnetons follow the coordinates.
Fractional positions:
Cs 0.500 0.500 0.500  0.05
C 0.000 0.500 0.000  1.13
C 0.500 0.000 0.000  1.13
C 0.000 0.000 0.500  1.13
K 0.000 0.000 0.000  0.11

Results
Fermi-level density of states = 6.9 states/eV/cell
formation enthalpy at 0 K = 3475.4 meV/atom
SG = Pm-3m (221)
M_tot = 8.0 μB per cell



(10)
Below is crystalline CsLaC3 at its relaxed geometry, with properties calculated at the PBEsol level.

abc: 4.463 4.463 4.463
angles: 90.00 90.00 90.00
Fractional positions:
La 0.500 0.500 0.500
C 0.500 0.000 0.000
C 0.000 0.500 0.000
C 0.000 0.000 0.500
Cs 0.000 0.000 0.000

Results
Fermi-level density of states = 4.6 states/eV/cell
formation enthalpy at 0 K = 2883.0 meV/atom
SG = Pm-3m (221)
M_tot = 0.0 μB per cell



(11)
Below is crystalline CsLiP2C at its relaxed geometry, with properties calculated at the PBEsol level.

abc: 4.275 4.275 4.905
angles: 90.00 90.00 90.00
Fractional positions:
P 0.000 0.500 0.000
P 0.500 0.000 0.000
Cs 0.500 0.500 0.500
Li 0.000 0.000 0.500
C 0.000 0.000 0.000

Results
Fermi-level density of states = 1.7 states/eV/cell
formation enthalpy at 0 K = 780.4 meV/atom
SG = P4/mmm (123)
M_tot = 0.0 μB per cell



(12)
Below is crystalline CsMn3C at its relaxed geometry, with properties calculated at the PBEsol level.

abc: 4.117 4.117 4.117
angles: 90.00 90.00 90.00
Site moments in Bohr magnetons follow the coordinates.
Fractional positions:
Cs 0.500 0.500 0.500  0.07
Mn 0.000 0.500 0.000  2.53
Mn 0.000 0.000 0.500  2.53
Mn 0.500 0.000 0.000  2.53
C 0.000 0.000 0.000  -0.19

Results
Fermi-level density of states = 4.8 states/eV/cell
formation enthalpy at 0 K = 1155.9 meV/atom
SG = Pm-3m (221)
M_tot = 7.6 μB per cell